DFT (PBE) results for an optimized crystal structure of NbAsIO2.

Formation energy from raw total energies = -812 meV/atom
Energy relative to the lowest polymorph listed for this composition = 0.0 kJ/mol of atoms
Final energy = -6.049 eV per atom
Size of the total moment = 0.52 Bohr magnetons per cell

Cell lengths 3.978, 3.978, 6.389 Å; angles 90.00, 90.00, 90.00 degrees
Element x y z (fractional)
I1 0.000 0.000 0.500
Nb1 0.000 0.000 0.000
As1 0.500 0.500 0.500
O1 0.000 0.500 0.000
O2 0.500 0.000 0.000


DFT (PBE) results for an optimized crystal structure of NbAsI2O.

Formation energy from raw total energies = 388 meV/atom
Energy relative to the lowest polymorph listed for this composition = 62.6 kJ/mol of atoms
Final energy = -4.168 eV per atom
Size of the total moment = 3.69 Bohr magnetons per cell

Cell lengths 5.783, 5.783, 3.777 Å; angles 90.00, 90.00, 90.00 degrees
Element x y z (fractional)
I1 0.000 0.500 0.000
I2 0.500 0.000 0.000
Nb1 0.500 0.500 0.500
As1 0.000 0.000 0.000
O1 0.000 0.000 0.500


- Among the records above, which one has the highest final energy?
  NbAsI2O


- Among the records above, which one has the highest energy relative to the lowest polymorph listed for this composition?
  NbAsI2O


- The highest size of the total moment belongs to which entry?
  NbAsI2O